(1)
A plane-wave DFT calculation with GGA-PBE was carried out for ErCo12B6 after structural relaxation.

Cell: 5.945 5.945 5.945 Å, 104.02 104.02 104.02°
Fractional positions:
Co: 0.868 0.500 0.132
Co: 0.545 0.814 0.545
Co: 0.186 0.455 0.455
Co: 0.500 0.132 0.868
Co: 0.455 0.455 0.186
Co: 0.455 0.186 0.455
Co: 0.132 0.868 0.500
Co: 0.132 0.500 0.868
Co: 0.868 0.132 0.500
Co: 0.500 0.868 0.132
Co: 0.814 0.545 0.545
Co: 0.545 0.545 0.814
B: 0.767 0.767 0.320
B: 0.320 0.767 0.767
B: 0.767 0.320 0.767
B: 0.233 0.233 0.680
B: 0.680 0.233 0.233
B: 0.233 0.680 0.233
Er: 0.000 0.000 0.000

## Properties
- magnetization (μB per formula unit) = 6.82
- formation energy (eV per atom) = -0.35
- N(E_F) (states/eV per atom) = 0.705

(2)
A plane-wave DFT calculation with GGA-PBE was carried out for NbGa2AgIr after structural relaxation.

Cell: 4.657 5.153 4.657 Å, 90.00 90.00 90.00°
Fractional positions:
Ga: 0.500 0.000 0.000
Ga: 0.000 0.000 0.500
Nb: 0.500 0.500 0.500
Ag: 0.000 0.500 0.000
Ir: 0.000 0.000 0.000

## Properties
- magnetization (μB per formula unit) = 3.20
- formation energy (eV per atom) = 0.71
- N(E_F) (states/eV per atom) = 0.556

(3)
A plane-wave DFT calculation with GGA-PBE was carried out for ThPa3O after structural relaxation.

Cell: 4.862 4.862 4.862 Å, 90.00 90.00 90.00°
Fractional positions:
Pa: 0.500 0.000 0.000
Pa: 0.000 0.500 0.000
Pa: 0.000 0.000 0.500
Th: 0.500 0.500 0.500
O: 0.000 0.000 0.000

## Properties
- raw formation energy (meV per atom) = -909
- magnetization (μB per formula unit) = 0.00
- N(E_F) (states/eV per atom) = 1.781

(4)
A plane-wave DFT calculation with GGA-PBE was carried out for CaScZn4 after structural relaxation.

Cell: 3.302 4.466 7.813 Å, 90.00 90.00 90.00°
Fractional positions:
Zn: 0.499 0.997 0.839
Zn: 0.499 0.497 0.675
Zn: 0.499 0.997 0.157
Zn: 0.499 0.497 0.321
Ca: 0.999 0.997 0.498
Sc: 0.999 0.497 0.998

## Properties
- magnetization (μB per formula unit) = 0.00
- formation energy (eV per atom) = -0.28
- N(E_F) (states/eV per atom) = 0.650